1.
# Nd6CdCu2 | Alexandria | PBE | relaxed
data_Nd6CdCu2
_chemical_formula_sum 'Nd24 Cd4 Cu8'
_space_group_name_H-M_alt 'I m m m'
_space_group_IT_number 71
_space_group_name_Hall '-I 2 2'
_cell_length_a 9.6807
_cell_length_b 10.1992
_cell_length_c 10.5764
_cell_angle_alpha 90.00
_cell_angle_beta 90.00
_cell_angle_gamma 90.00
loop_
_atom_site_label
_atom_site_type_symbol
_atom_site_fract_x
_atom_site_fract_y
_atom_site_fract_z
Nd1 Nd 0.0000 0.1939 0.2413
Nd2 Nd 0.1947 0.5000 0.1784
Nd3 Nd 0.2179 0.3176 0.5000
Cd1 Cd 0.0000 0.0000 0.0000
Cd2 Cd 0.0000 0.0000 0.5000
Cu1 Cu 0.0000 0.3505 0.0000
Cu2 Cu 0.0000 0.5000 0.3830
# formation energy: -122 meV/atom
# crystal system: orthorhombic
# V: 29.01 Å³ per atom
# Fermi-level density of states: 1.18 states/eV/atom
# calculated density: 7.028 Mg/m³

=====

2.
# Cd7InPd4 | Alexandria | PBE | relaxed
data_Cd7InPd4
_chemical_formula_sum 'Cd14 In2 Pd8'
_space_group_name_H-M_alt 'C 1 2/m 1'
_space_group_IT_number 12
_cell_length_a 12.9114
_cell_length_b 5.0605
_cell_length_c 9.8896
_cell_angle_alpha 90.00
_cell_angle_beta 127.54
_cell_angle_gamma 90.00
loop_
_space_group_symop_operation_xyz
'x,y,z'
'-x,-y,-z'
'-x,y,-z'
'x,-y,z'
'x+1/2,y+1/2,z'
'-x+1/2,-y+1/2,-z'
'-x+1/2,y+1/2,-z'
'x+1/2,-y+1/2,z'
loop_
_atom_site_label
_atom_site_type_symbol
_atom_site_fract_x
_atom_site_fract_y
_atom_site_fract_z
Cd1 Cd 0.0000 0.0000 0.0000
Cd2 Cd 0.0651 0.5000 0.3528
Cd3 Cd 0.1651 0.0000 0.5996
Cd4 Cd 0.2170 0.5000 0.8633
In1 In 0.0000 0.5000 0.0000
Pd1 Pd 0.0719 0.0000 0.7816
Pd2 Pd 0.1948 0.0000 0.3443
# formation energy: -111 meV/atom
# crystal system: monoclinic
# V: 21.35 Å³ per atom
# Fermi-level density of states: 0.34 states/eV/atom
# calculated density: 8.604 Mg/m³

=====

3.
# MnWCl | Alexandria | PBE | relaxed
data_MnWCl
_chemical_formula_sum 'Mn1 W1 Cl1'
_space_group_name_H-M_alt 'P 3 m 1'
_space_group_IT_number 156
_cell_length_a 3.0486
_cell_length_b 3.0486
_cell_length_c 5.9455
_cell_angle_alpha 90.00
_cell_angle_beta 90.00
_cell_angle_gamma 120.00
loop_
_space_group_symop_operation_xyz
'x,y,z'
'-y,x-y,z'
'-x+y,-x,z'
'-y,-x,z'
'-x+y,y,z'
'x,x-y,z'
loop_
_atom_site_label
_atom_site_type_symbol
_atom_site_fract_x
_atom_site_fract_y
_atom_site_fract_z
Mn1 Mn 0.0000 0.0000 0.0000
W1 W 0.3333 0.6667 0.2866
Cl1 Cl 0.6667 0.3333 0.6715
# E above lowest polymorph: 0.0 meV per atom
# formation energy without anion corrections: 0.3477 eV/atom
# crystal system: trigonal
# V: 15.95 Å³ per atom
# Fermi-level density of states: 0.61 states/eV/atom
# calculated density: 9.516 Mg/m³

=====

4.
# RbZnSb3 | Alexandria | PBE | relaxed
data_RbZnSb3
_chemical_formula_sum 'Rb1 Zn1 Sb3'
_space_group_name_H-M_alt 'P m -3 m'
_space_group_IT_number 221
_space_group_name_Hall '-P 4 2 3'
_cell_length_a 5.4544
_cell_length_b 5.4544
_cell_length_c 5.4544
_cell_angle_alpha 90.00
_cell_angle_beta 90.00
_cell_angle_gamma 90.00
loop_
_atom_site_label
_atom_site_type_symbol
_atom_site_fract_x
_atom_site_fract_y
_atom_site_fract_z
Rb1 Rb 0.0000 0.0000 0.0000
Zn1 Zn 0.5000 0.5000 0.5000
Sb1 Sb 0.0000 0.5000 0.5000
# E above lowest polymorph: 278.4 meV per atom
# formation energy without anion corrections: 0.1730 eV/atom
# crystal system: cubic
# V: 32.45 Å³ per atom
# Fermi-level density of states: 0.56 states/eV/atom
# calculated density: 5.282 Mg/m³

=====

5.
# HoTmInGa | Alexandria | PBE | relaxed
data_HoTmInGa
_chemical_formula_sum 'Ho1 Tm1 In1 Ga1'
_space_group_name_H-M_alt 'P 4 m m'
_space_group_IT_number 99
_cell_length_a 3.4693
_cell_length_b 3.4693
_cell_length_c 8.0025
_cell_angle_alpha 90.00
_cell_angle_beta 90.00
_cell_angle_gamma 90.00
loop_
_space_group_symop_operation_xyz
'x,y,z'
'-y,x,z'
'-x,-y,z'
'y,-x,z'
'-x,y,z'
'y,x,z'
'x,-y,z'
'-y,-x,z'
loop_
_atom_site_label
_atom_site_type_symbol
_atom_site_fract_x
_atom_site_fract_y
_atom_site_fract_z
Ho1 Ho 0.0000 0.0000 0.0000
Tm1 Tm 0.0000 0.0000 0.4644
In1 In 0.5000 0.5000 0.7300
Ga1 Ga 0.5000 0.5000 0.2345
# formation energy: -502 meV/atom
# E above lowest polymorph: 0.0 meV per atom
# crystal system: tetragonal
# V: 24.08 Å³ per atom
# Fermi-level density of states: 0.47 states/eV/atom
# calculated density: 8.937 Mg/m³

=====

6.
# V3SbTe3 | Alexandria | PBE | relaxed
data_V3SbTe3
_chemical_formula_sum 'V18 Sb6 Te18'
_space_group_name_H-M_alt 'R -3'
_space_group_IT_number 148
_space_group_name_Hall '-R 3'
_cell_length_a 9.7702
_cell_length_b 9.7702
_cell_length_c 12.1721
_cell_angle_alpha 90.00
_cell_angle_beta 90.00
_cell_angle_gamma 120.00
loop_
_atom_site_label
_atom_site_type_symbol
_atom_site_fract_x
_atom_site_fract_y
_atom_site_fract_z
V1 V 0.0105 0.1545 0.3976
Sb1 Sb 0.0000 0.0000 0.2084
Te1 Te 0.0028 0.3499 0.2415
# formation energy without anion corrections: -0.1787 eV/atom
# crystal system: trigonal
# V: 23.96 Å³ per atom
# Fermi-level density of states: 1.09 states/eV/atom
# calculated density: 6.509 Mg/m³

=====

7.
# Sb2IF2 | Alexandria | PBE | relaxed
data_Sb2IF2
_chemical_formula_sum 'Sb4 I2 F4'
_space_group_name_H-M_alt 'P 4/m b m'
_space_group_IT_number 127
_space_group_name_Hall '-P 4 2ab'
_cell_length_a 8.8490
_cell_length_b 8.8490
_cell_length_c 3.0655
_cell_angle_alpha 90.00
_cell_angle_beta 90.00
_cell_angle_gamma 90.00
loop_
_atom_site_label
_atom_site_type_symbol
_atom_site_fract_x
_atom_site_fract_y
_atom_site_fract_z
Sb1 Sb 0.1093 0.3907 0.0000
I1 I 0.0000 0.0000 0.5000
F1 F 0.1369 0.6369 0.5000
# E above lowest polymorph: 327.4 meV per atom
# formation energy without anion corrections: -0.6587 eV/atom
# crystal system: tetragonal
# V: 24.00 Å³ per atom
# Fermi-level density of states: 0.30 states/eV/atom
# calculated density: 5.651 Mg/m³

=====

8.
# Ba3CrIn | Alexandria | PBE | relaxed
data_Ba3CrIn
_chemical_formula_sum 'Ba3 Cr1 In1'
_space_group_name_H-M_alt 'P m -3 m'
_space_group_IT_number 221
_space_group_name_Hall '-P 4 2 3'
_cell_length_a 5.8415
_cell_length_b 5.8415
_cell_length_c 5.8415
_cell_angle_alpha 90.00
_cell_angle_beta 90.00
_cell_angle_gamma 90.00
loop_
_atom_site_label
_atom_site_type_symbol
_atom_site_fract_x
_atom_site_fract_y
_atom_site_fract_z
Ba1 Ba 0.0000 0.0000 0.5000
Cr1 Cr 0.0000 0.0000 0.0000
In1 In 0.5000 0.5000 0.5000
# formation energy: 642 meV/atom
# E above lowest polymorph: 0.0 meV per atom
# crystal system: cubic
# V: 39.87 Å³ per atom
# Fermi-level density of states: 1.31 states/eV/atom
# calculated density: 4.822 Mg/m³

=====

9.
# Na3BrCl2 | Alexandria | PBE | relaxed
data_Na3BrCl2
_chemical_formula_sum 'Na6 Br2 Cl4'
_space_group_name_H-M_alt 'I 4/m m m'
_space_group_IT_number 139
_space_group_name_Hall '-I 4 2'
_cell_length_a 4.1111
_cell_length_b 4.1111
_cell_length_c 17.4109
_cell_angle_alpha 90.00
_cell_angle_beta 90.00
_cell_angle_gamma 90.00
loop_
_atom_site_label
_atom_site_type_symbol
_atom_site_fract_x
_atom_site_fract_y
_atom_site_fract_z
Na1 Na 0.0000 0.0000 0.0000
Na2 Na 0.0000 0.0000 0.3287
Br1 Br 0.0000 0.0000 0.5000
Cl1 Cl 0.0000 0.0000 0.1675
# E above lowest polymorph: 3.4 meV per atom
# formation energy without anion corrections: -1.7154 eV/atom
# crystal system: tetragonal
# V: 24.52 Å³ per atom
# Fermi-level density of states: 0.00 states/eV/atom
# calculated density: 2.480 Mg/m³

=====

10.
# AgPdRuO4 | Alexandria | PBE | relaxed
data_AgPdRuO4
_chemical_formula_sum 'Ag4 Pd4 Ru4 O16'
_space_group_name_H-M_alt 'I m m a'
_space_group_IT_number 74
_space_group_name_Hall '-I 2b 2'
_cell_length_a 5.6022
_cell_length_b 6.0599
_cell_length_c 11.0579
_cell_angle_alpha 90.00
_cell_angle_beta 90.00
_cell_angle_gamma 90.00
loop_
_atom_site_label
_atom_site_type_symbol
_atom_site_fract_x
_atom_site_fract_y
_atom_site_fract_z
Ag1 Ag 0.0000 0.2500 0.1699
Pd1 Pd 0.2500 0.2500 0.7500
Ru1 Ru 0.0000 0.0000 0.5000
O1 O 0.0000 0.0328 0.6826
O2 O 0.2206 0.2500 0.4804
# formation energy without anion corrections: -0.4858 eV/atom
# crystal system: orthorhombic
# V: 13.41 Å³ per atom
# Fermi-level density of states: 0.64 states/eV/atom
# calculated density: 6.712 Mg/m³

=====

11.
# Pm4Sm3Cd2 | Alexandria | PBE | relaxed
data_Pm4Sm3Cd2
_chemical_formula_sum 'Pm8 Sm6 Cd4'
_space_group_name_H-M_alt 'C 1 2/m 1'
_space_group_IT_number 12
_cell_length_a 15.1321
_cell_length_b 5.0184
_cell_length_c 7.8264
_cell_angle_alpha 90.00
_cell_angle_beta 109.02
_cell_angle_gamma 90.00
loop_
_space_group_symop_operation_xyz
'x,y,z'
'-x,-y,-z'
'-x,y,-z'
'x,-y,z'
'x+1/2,y+1/2,z'
'-x+1/2,-y+1/2,-z'
'-x+1/2,y+1/2,-z'
'x+1/2,-y+1/2,z'
loop_
_atom_site_label
_atom_site_type_symbol
_atom_site_fract_x
_atom_site_fract_y
_atom_site_fract_z
Pm1 Pm 0.0547 0.0000 0.3316
Pm2 Pm 0.2222 0.5000 0.3144
Sm1 Sm 0.0000 0.5000 0.0000
Sm2 Sm 0.1150 0.5000 0.6761
Cd1 Cd 0.1637 0.0000 0.9983
# formation energy: -74 meV/atom
# crystal system: monoclinic
# V: 31.22 Å³ per atom
# Fermi-level density of states: 1.20 states/eV/atom
# calculated density: 7.423 Mg/m³

=====

12.
# KAcAgGe | Alexandria | PBE | relaxed
data_KAcAgGe
_chemical_formula_sum 'K4 Ac4 Ag4 Ge4'
_space_group_name_H-M_alt 'F -4 3 m'
_space_group_IT_number 216
_space_group_name_Hall 'F -4 2 3'
_cell_length_a 7.8215
_cell_length_b 7.8215
_cell_length_c 7.8215
_cell_angle_alpha 90.00
_cell_angle_beta 90.00
_cell_angle_gamma 90.00
loop_
_atom_site_label
_atom_site_type_symbol
_atom_site_fract_x
_atom_site_fract_y
_atom_site_fract_z
K1 K 0.0000 0.0000 0.0000
Ac1 Ac 0.0000 0.0000 0.5000
Ag1 Ag 0.2500 0.2500 0.7500
Ge1 Ge 0.2500 0.2500 0.2500
# formation energy: -139 meV/atom
# crystal system: cubic
# V: 29.91 Å³ per atom
# Fermi-level density of states: 0.77 states/eV/atom
# calculated density: 6.200 Mg/m³